VASP calculation (GGA-PBE) on an optimized crystal structure of Ta5Ru4.

Cell and atoms, written as CIF:
```
data_Ta5Ru4
_chemical_formula_sum 'Ta10 Ru8'
_symmetry_space_group_name_H-M 'I 4/m m m'
_symmetry_Int_Tables_number 139
_symmetry_space_group_name_Hall '-I 4 2'
_cell_length_a 9.5352
_cell_length_b 9.5352
_cell_length_c 3.2380
_cell_angle_alpha 90.00
_cell_angle_beta 90.00
_cell_angle_gamma 90.00
loop_
_atom_site_label
_atom_site_type_symbol
_atom_site_fract_x
_atom_site_fract_y
_atom_site_fract_z
_atom_site_occupancy
Ta1 Ta 0.0000 0.0000 0.0000 1
Ta2 Ta 0.1672 0.1672 0.5000 1
Ru1 Ru 0.0000 0.3261 0.0000 1
```

Polymorph energy (0 for the lowest one) = 0.38 eV per formula unit
Formation enthalpy at 0 K = -2.26 kcal/mol of atoms

VASP calculation (GGA-PBE) on an optimized crystal structure of TbTaRu2.

Cell and atoms, written as CIF:
```
data_TbTaRu2
_chemical_formula_sum 'Tb1 Ta1 Ru2'
_symmetry_space_group_name_H-M 'P 4/m m m'
_symmetry_Int_Tables_number 123
_symmetry_space_group_name_Hall '-P 4 2'
_cell_length_a 4.6649
_cell_length_b 4.6649
_cell_length_c 3.2427
_cell_angle_alpha 90.00
_cell_angle_beta 90.00
_cell_angle_gamma 90.00
loop_
_atom_site_label
_atom_site_type_symbol
_atom_site_fract_x
_atom_site_fract_y
_atom_site_fract_z
_atom_site_occupancy
Tb1 Tb 0.0000 0.0000 0.0000 1
Ta1 Ta 0.5000 0.5000 0.0000 1
Ru1 Ru 0.0000 0.5000 0.5000 1
```

Formation enthalpy at 0 K = -6.90 kcal/mol of atoms

VASP calculation (GGA-PBE) on an optimized crystal structure of TbTaRu2.

Cell and atoms, written as CIF:
```
data_TbTaRu2
_chemical_formula_sum 'Tb1 Ta1 Ru2'
_symmetry_space_group_name_H-M 'P 4/m m m'
_symmetry_Int_Tables_number 123
_symmetry_space_group_name_Hall '-P 4 2'
_cell_length_a 3.2138
_cell_length_b 3.2138
_cell_length_c 6.9337
_cell_angle_alpha 90.00
_cell_angle_beta 90.00
_cell_angle_gamma 90.00
loop_
_atom_site_label
_atom_site_type_symbol
_atom_site_fract_x
_atom_site_fract_y
_atom_site_fract_z
_atom_site_occupancy
Tb1 Tb 0.0000 0.0000 0.0000 1
Ta1 Ta 0.0000 0.0000 0.5000 1
Ru1 Ru 0.5000 0.5000 0.2826 1
```

Formation enthalpy at 0 K = -9.56 kcal/mol of atoms

VASP calculation (GGA-PBE) on an optimized crystal structure of TbTa2Ru3.

Cell and atoms, written as CIF:
```
data_TbTa2Ru3
_chemical_formula_sum 'Tb1 Ta2 Ru3'
_symmetry_space_group_name_H-M 'P 4/m m m'
_symmetry_Int_Tables_number 123
_symmetry_space_group_name_Hall '-P 4 2'
_cell_length_a 3.1592
_cell_length_b 3.1592
_cell_length_c 10.4959
_cell_angle_alpha 90.00
_cell_angle_beta 90.00
_cell_angle_gamma 90.00
loop_
_atom_site_label
_atom_site_type_symbol
_atom_site_fract_x
_atom_site_fract_y
_atom_site_fract_z
_atom_site_occupancy
Tb1 Tb 0.0000 0.0000 0.0000 1
Ta1 Ta 0.0000 0.0000 0.3404 1
Ru1 Ru 0.5000 0.5000 0.2036 1
Ru2 Ru 0.5000 0.5000 0.5000 1
```

Formation enthalpy at 0 K = -9.31 kcal/mol of atoms